# 1
Material: Pr2TmAl6
Method: DFT, GGA-PBE
State: optimized geometry

Properties
Density of states at the Fermi level ... 4.30 states/eV/f.u.
Space-group type ... No. 191
Distance to the lowest polymorph of the same formula ... 0 meV/atom
Calculated formation energy ... -0.454 eV/atom
Crystal system ... hexagonal

Cell: 7.968 7.968 3.652 Å, 90.00 90.00 120.00°
Element x y z (fractional)
Pr: 0.333 0.667 0.000
Pr: 0.667 0.333 0.000
Tm: 0.000 0.000 0.000
Al: 0.000 0.330 0.500
Al: 0.000 0.670 0.500
Al: 0.330 0.000 0.500
Al: 0.330 0.330 0.500
Al: 0.670 0.000 0.500
Al: 0.670 0.670 0.500

# 2
Material: DyHf3
Method: DFT, GGA-PBE
State: optimized geometry

Properties
Density of states at the Fermi level ... 3.02 states/eV/f.u.
Space-group type ... No. 25
Distance to the lowest polymorph of the same formula ... 0 meV/atom
Calculated formation energy ... 0.085 eV/atom
Crystal system ... orthorhombic

Cell: 3.269 5.151 5.738 Å, 90.00 90.00 90.00°
Element x y z (fractional)
Dy: 0.000 0.000 0.000
Hf: 0.000 0.500 0.658
Hf: 0.500 0.000 0.500
Hf: 0.500 0.500 0.188

# 3
Material: Sc2CoPb
Method: DFT, GGA-PBE
State: optimized geometry

Properties
Density of states at the Fermi level ... 2.84 states/eV/f.u.
Space-group type ... No. 122
Calculated formation energy ... -0.001 eV/atom
Crystal system ... tetragonal

Cell: 7.472 7.472 6.081 Å, 90.00 90.00 90.00°
Element x y z (fractional)
Sc: 0.186 0.250 0.125
Sc: 0.250 0.686 0.375
Sc: 0.250 0.814 0.875
Sc: 0.314 0.250 0.625
Sc: 0.686 0.750 0.625
Sc: 0.750 0.186 0.875
Sc: 0.750 0.314 0.375
Sc: 0.814 0.750 0.125
Co: 0.000 0.000 0.000
Co: 0.000 0.500 0.250
Co: 0.500 0.000 0.750
Co: 0.500 0.500 0.500
Pb: 0.000 0.000 0.500
Pb: 0.000 0.500 0.750
Pb: 0.500 0.000 0.250
Pb: 0.500 0.500 0.000

# 4
Material: PdPtPb5
Method: DFT, GGA-PBE
State: optimized geometry

Properties
Density of states at the Fermi level ... 3.20 states/eV/f.u.
Space-group type ... No. 11
Calculated formation energy ... -0.127 eV/atom
Crystal system ... monoclinic

Cell: 7.310 3.765 13.809 Å, 90.00 95.38 90.00°
Element x y z (fractional)
Pd: 0.028 0.250 0.340
Pd: 0.972 0.750 0.660
Pt: 0.436 0.750 0.141
Pt: 0.564 0.250 0.859
Pb: 0.051 0.750 0.175
Pb: 0.183 0.250 0.549
Pb: 0.293 0.250 0.999
Pb: 0.335 0.750 0.759
Pb: 0.349 0.750 0.364
Pb: 0.651 0.250 0.636
Pb: 0.665 0.250 0.241
Pb: 0.707 0.750 0.001
Pb: 0.817 0.750 0.451
Pb: 0.949 0.250 0.825

# 5
Material: BaY2As
Method: DFT, GGA-PBE
State: optimized geometry

Properties
Density of states at the Fermi level ... 4.53 states/eV/f.u.
Space-group type ... No. 99
Calculated formation energy ... -0.540 eV/atom
Crystal system ... tetragonal

Cell: 3.957 3.957 8.482 Å, 90.00 90.00 90.00°
Element x y z (fractional)
Ba: 0.000 0.000 0.000
Y: 0.000 0.000 0.601
Y: 0.500 0.500 0.355
As: 0.500 0.500 0.711

# 6
Material: Gd2AuCl
Method: DFT, GGA-PBE
State: optimized geometry

Properties
Density of states at the Fermi level ... 5.32 states/eV/f.u.
Space-group type ... No. 166
E_form (uncorrected) ... -1.073 eV/atom
Crystal system ... trigonal

Cell: 4.176 4.176 20.865 Å, 90.00 90.00 120.00°
Element x y z (fractional)
Gd: 0.000 0.000 0.246
Gd: 0.000 0.000 0.754
Gd: 0.333 0.667 0.421
Gd: 0.333 0.667 0.913
Gd: 0.667 0.333 0.087
Gd: 0.667 0.333 0.579
Au: 0.000 0.000 0.500
Au: 0.333 0.667 0.167
Au: 0.667 0.333 0.833
Cl: 0.000 0.000 0.000
Cl: 0.333 0.667 0.667
Cl: 0.667 0.333 0.333

# 7
Material: Sc5Ru3
Method: DFT, GGA-PBE
State: optimized geometry

Properties
Density of states at the Fermi level ... 7.67 states/eV/f.u.
Space-group type ... No. 193
Distance to the lowest polymorph of the same formula ... 68 meV/atom
Calculated formation energy ... -0.455 eV/atom
Crystal system ... hexagonal

Cell: 7.755 7.755 5.848 Å, 90.00 90.00 120.00°
Element x y z (fractional)
Sc: 0.000 0.259 0.250
Sc: 0.000 0.741 0.750
Sc: 0.259 0.000 0.250
Sc: 0.259 0.259 0.750
Sc: 0.333 0.667 0.000
Sc: 0.333 0.667 0.500
Sc: 0.667 0.333 0.000
Sc: 0.667 0.333 0.500
Sc: 0.741 0.000 0.750
Sc: 0.741 0.741 0.250
Ru: 0.000 0.396 0.750
Ru: 0.000 0.604 0.250
Ru: 0.396 0.000 0.750
Ru: 0.396 0.396 0.250
Ru: 0.604 0.000 0.250
Ru: 0.604 0.604 0.750

# 8
Material: Ac5CuOs2
Method: DFT, GGA-PBE
State: optimized geometry

Properties
Density of states at the Fermi level ... 6.61 states/eV/f.u.
Space-group type ... No. 15
Calculated formation energy ... -0.039 eV/atom
Crystal system ... monoclinic

Cell: 9.310 9.310 8.310 Å, 116.45 116.45 53.02°
Element x y z (fractional)
Ac: 0.000 0.500 0.500
Ac: 0.028 0.206 0.028
Ac: 0.206 0.028 0.528
Ac: 0.294 0.472 0.294
Ac: 0.472 0.294 0.794
Ac: 0.500 0.000 0.000
Ac: 0.528 0.706 0.206
Ac: 0.706 0.528 0.706
Ac: 0.794 0.972 0.472
Ac: 0.972 0.794 0.972
Cu: 0.250 0.750 0.750
Cu: 0.750 0.250 0.250
Os: 0.137 0.363 0.863
Os: 0.363 0.137 0.363
Os: 0.637 0.863 0.637
Os: 0.863 0.637 0.137

# 9
Material: Sr3BiP2Pd9
Method: DFT, GGA-PBE
State: optimized geometry

Properties
Density of states at the Fermi level ... 7.10 states/eV/f.u.
Space-group type ... No. 164
Calculated formation energy ... -0.605 eV/atom
Crystal system ... trigonal

Cell: 6.414 6.414 9.286 Å, 90.00 90.00 120.00°
Element x y z (fractional)
Sr: 0.000 0.000 0.000
Sr: 0.333 0.667 0.661
Sr: 0.667 0.333 0.339
Bi: 0.000 0.000 0.500
P: 0.333 0.667 0.155
P: 0.667 0.333 0.845
Pd: 0.000 0.500 0.000
Pd: 0.155 0.311 0.275
Pd: 0.155 0.845 0.275
Pd: 0.311 0.155 0.725
Pd: 0.500 0.000 0.000
Pd: 0.500 0.500 0.000
Pd: 0.689 0.845 0.275
Pd: 0.845 0.155 0.725
Pd: 0.845 0.689 0.725

# 10
Material: Ac2Cd4Ag3Hg
Method: DFT, GGA-PBE
State: optimized geometry

Properties
Density of states at the Fermi level ... 5.14 states/eV/f.u.
Space-group type ... No. 115
Calculated formation energy ... -0.245 eV/atom
Crystal system ... tetragonal

Cell: 4.543 4.543 12.640 Å, 90.00 90.00 90.00°
Element x y z (fractional)
Ac: 0.000 0.500 0.245
Ac: 0.500 0.000 0.755
Cd: 0.000 0.000 0.000
Cd: 0.000 0.500 0.640
Cd: 0.500 0.000 0.360
Cd: 0.500 0.500 0.000
Ag: 0.000 0.500 0.859
Ag: 0.500 0.000 0.141
Ag: 0.500 0.500 0.500
Hg: 0.000 0.000 0.500

# 11
Material: NiSnAs
Method: DFT, GGA-PBE
State: optimized geometry

Properties
Density of states at the Fermi level ... 0.79 states/eV/f.u.
Space-group type ... No. 14
Calculated formation energy ... -0.248 eV/atom
Crystal system ... monoclinic

Cell: 6.343 6.258 6.371 Å, 90.00 118.23 90.00°
Element x y z (fractional)
Ni: 0.206 0.015 0.208
Ni: 0.206 0.485 0.708
Ni: 0.794 0.515 0.292
Ni: 0.794 0.985 0.792
Sn: 0.346 0.638 0.140
Sn: 0.346 0.862 0.640
Sn: 0.654 0.138 0.360
Sn: 0.654 0.362 0.860
As: 0.154 0.140 0.837
As: 0.154 0.360 0.337
As: 0.846 0.640 0.663
As: 0.846 0.860 0.163

# 12
Material: NaErIn2Cl6
Method: DFT, GGA-PBE
State: optimized geometry

Properties
Density of states at the Fermi level ... 0.00 states/eV/f.u.
Space-group type ... No. 146
E_form (uncorrected) ... -1.619 eV/atom
Crystal system ... trigonal

Cell: 7.586 7.586 7.586 Å, 59.49 59.49 59.49°
Element x y z (fractional)
Na: 0.000 0.000 0.000
Er: 0.495 0.495 0.495
In: 0.277 0.277 0.277
In: 0.781 0.781 0.781
Cl: 0.176 0.715 0.334
Cl: 0.241 0.666 0.804
Cl: 0.334 0.176 0.715
Cl: 0.666 0.804 0.241
Cl: 0.715 0.334 0.176
Cl: 0.804 0.241 0.666

# 13
Material: SrBeHg2
Method: DFT, GGA-PBE
State: optimized geometry

Properties
Density of states at the Fermi level ... 2.10 states/eV/f.u.
Space-group type ... No. 123
Calculated formation energy ... 0.162 eV/atom
Crystal system ... tetragonal

Cell: 4.682 4.682 4.669 Å, 90.00 90.00 90.00°
Element x y z (fractional)
Sr: 0.000 0.000 0.000
Be: 0.500 0.500 0.000
Hg: 0.000 0.500 0.500
Hg: 0.500 0.000 0.500

# 14
Material: RbScSn
Method: DFT, GGA-PBE
State: optimized geometry

Properties
Density of states at the Fermi level ... 0.59 states/eV/f.u.
Space-group type ... No. 187
Distance to the lowest polymorph of the same formula ... 388 meV/atom
Calculated formation energy ... 0.039 eV/atom
Crystal system ... hexagonal

Cell: 4.968 4.968 5.906 Å, 90.00 90.00 120.00°
Element x y z (fractional)
Rb: 0.000 0.000 0.000
Sc: 0.333 0.667 0.500
Sn: 0.667 0.333 0.500

# 15
Material: Y2MgSiMo
Method: DFT, GGA-PBE
State: optimized geometry

Properties
Density of states at the Fermi level ... 4.47 states/eV/f.u.
Space-group type ... No. 123
E_form (uncorrected) ... 0.195 eV/atom
Crystal system ... tetragonal

Cell: 5.393 5.393 4.630 Å, 90.00 90.00 90.00°
Element x y z (fractional)
Y: 0.000 0.500 0.000
Y: 0.500 0.000 0.000
Mg: 0.000 0.000 0.500
Si: 0.500 0.500 0.000
Mo: 0.500 0.500 0.500

# 16
Material: AcReHN2
Method: DFT, GGA-PBE
State: optimized geometry

Properties
Density of states at the Fermi level ... 0.69 states/eV/f.u.
Space-group type ... No. 123
Uncorrected energy ... -8.00 eV per atom
Crystal system ... tetragonal

Cell: 4.037 4.037 3.864 Å, 90.00 90.00 90.00°
Element x y z (fractional)
Ac: 0.000 0.000 0.000
Re: 0.500 0.500 0.500
H: 0.500 0.500 0.000
N: 0.000 0.500 0.500
N: 0.500 0.000 0.500

# 17
Material: KGa5Au4
Method: DFT, GGA-PBE
State: optimized geometry

Properties
Density of states at the Fermi level ... 4.51 states/eV/f.u.
Space-group type ... No. 59
Calculated formation energy ... -0.215 eV/atom
Crystal system ... orthorhombic

Cell: 6.789 9.358 6.746 Å, 90.00 90.00 90.00°
Element x y z (fractional)
K: 0.250 0.250 0.002
K: 0.750 0.750 0.998
Ga: 0.006 0.501 0.296
Ga: 0.006 0.999 0.296
Ga: 0.250 0.750 0.716
Ga: 0.494 0.501 0.296
Ga: 0.494 0.999 0.296
Ga: 0.506 0.001 0.704
Ga: 0.506 0.499 0.704
Ga: 0.750 0.250 0.284
Ga: 0.994 0.001 0.704
Ga: 0.994 0.499 0.704
Au: 0.046 0.250 0.516
Au: 0.250 0.580 0.019
Au: 0.250 0.920 0.019
Au: 0.454 0.250 0.516
Au: 0.546 0.750 0.484
Au: 0.750 0.080 0.981
Au: 0.750 0.420 0.981
Au: 0.954 0.750 0.484

# 18
Material: Zr
Method: DFT, GGA-PBE
State: optimized geometry

Properties
Density of states at the Fermi level ... 1.38 states/eV/f.u.
Space-group type ... No. 217
Distance to the lowest polymorph of the same formula ... 1870 meV/atom
Calculated formation energy ... 1.870 eV/atom
Crystal system ... cubic

Cell: 8.617 8.617 8.617 Å, 90.00 90.00 90.00°
Element x y z (fractional)
Zr: 0.119 0.119 0.881
Zr: 0.119 0.881 0.119
Zr: 0.207 0.207 0.207
Zr: 0.207 0.793 0.793
Zr: 0.293 0.293 0.707
Zr: 0.293 0.707 0.293
Zr: 0.381 0.381 0.381
Zr: 0.381 0.619 0.619
Zr: 0.619 0.381 0.619
Zr: 0.619 0.619 0.381
Zr: 0.707 0.293 0.293
Zr: 0.707 0.707 0.707
Zr: 0.793 0.207 0.793
Zr: 0.793 0.793 0.207
Zr: 0.881 0.119 0.119
Zr: 0.881 0.881 0.881

# 19
Material: YSbAu2Se
Method: DFT, GGA-PBE
State: optimized geometry

Properties
Density of states at the Fermi level ... 2.92 states/eV/f.u.
Space-group type ... No. 123
E_form (uncorrected) ... 0.596 eV/atom
Crystal system ... tetragonal

Cell: 5.315 5.315 6.140 Å, 90.00 90.00 90.00°
Element x y z (fractional)
Y: 0.000 0.000 0.000
Sb: 0.000 0.000 0.500
Au: 0.000 0.500 0.000
Au: 0.500 0.000 0.000
Se: 0.500 0.500 0.500

# 20
Material: LiTbHfTc
Method: DFT, GGA-PBE
State: optimized geometry

Properties
Density of states at the Fermi level ... 2.23 states/eV/f.u.
Space-group type ... No. 216
Calculated formation energy ... -0.090 eV/atom
Crystal system ... cubic

Cell: 6.755 6.755 6.755 Å, 90.00 90.00 90.00°
Element x y z (fractional)
Li: 0.000 0.000 0.000
Li: 0.000 0.500 0.500
Li: 0.500 0.000 0.500
Li: 0.500 0.500 0.000
Tb: 0.250 0.250 0.250
Tb: 0.250 0.750 0.750
Tb: 0.750 0.250 0.750
Tb: 0.750 0.750 0.250
Hf: 0.250 0.250 0.750
Hf: 0.250 0.750 0.250
Hf: 0.750 0.250 0.250
Hf: 0.750 0.750 0.750
Tc: 0.000 0.000 0.500
Tc: 0.000 0.500 0.000
Tc: 0.500 0.000 0.000
Tc: 0.500 0.500 0.500